Cs2Li2Zn: PBEsol geometry, SCAN.

abc: 7.8788 7.8788 6.3056
angles: 90.00 90.00 90.00
With the nearest neighbours (Å) after each atom.
Space group P4/mbm (No. 127)
Inequivalent atoms, fractional coordinates:
1 Cs 0.1899 0.3101 0.0000  2 Li 3.62, 4 Cs 4.05
2 Li 0.1507 0.6507 0.5000  2 Zn 3.00
3 Zn 0.0000 0.0000 0.5000  4 Li 3.00

- Density of states at the Fermi level: 0.801 states/eV per atom
- Formation enthalpy at 0 K: 23.8 kJ/mol of atoms

---

BaCuRh: PBEsol geometry, SCAN.

abc: 4.1914 4.1914 4.5881
angles: 90.00 90.00 120.00
With the nearest neighbours (Å) after each atom.
Space group P-6m2 (No. 187)
Inequivalent atoms, fractional coordinates:
1 Ba 0.0000 0.0000 0.0000  6 Cu 3.33, 6 Rh 3.33
2 Cu 0.3333 0.6667 0.5000  3 Rh 2.42
3 Rh 0.6667 0.3333 0.5000  3 Cu 2.42

- Density of states at the Fermi level: 0.257 states/eV per atom
- Formation enthalpy at 0 K: -4.9 kJ/mol of atoms

---

LiNiN: PBEsol geometry, SCAN.

abc: 3.5435 3.5435 3.3918
angles: 90.00 90.00 120.00
With the nearest neighbours (Å) after each atom.
Space group P-6m2 (No. 187)
Inequivalent atoms, fractional coordinates:
1 Li 0.0000 0.0000 0.0000  3 N 2.05
2 Ni 0.6667 0.3333 0.5000  2 N 1.70
3 N 0.6667 0.3333 0.0000  2 Ni 1.70

- Formation energy from raw total energies: -104 meV per atom
- Density of states at the Fermi level: 0.530 states/eV per atom

---

LiNbCl2: PBEsol geometry, SCAN.

abc: 3.1732 3.1732 23.6465
angles: 90.00 90.00 120.00
With the nearest neighbours (Å) after each atom.
Space group R-3m (No. 166, hexagonal axes)
Inequivalent atoms, fractional coordinates:
1 Li 0.0000 0.0000 0.0000  6 Cl 2.38
2 Nb 0.0000 0.0000 0.5000  2 Cl 2.42
3 Cl 0.0000 0.0000 0.3978  3 Li 2.38, 1 Nb 2.42

- Formation energy from raw total energies: -957 meV per atom
- Density of states at the Fermi level: 0.658 states/eV per atom

---

NaRu4O8: PBEsol geometry, SCAN.

abc: 9.3765 9.3765 3.0768
angles: 90.00 90.00 90.00
With the nearest neighbours (Å) after each atom.
Space group I4/m (No. 87)
Inequivalent atoms, fractional coordinates:
1 Na 0.0000 0.0000 0.0000  8 O 2.57
2 Ru 0.1588 0.6806 0.0000  6 O 1.96-2.05
3 O 0.0497 0.3375 0.0000  3 Ru 1.96-1.97
4 O 0.1297 0.8222 0.5000  3 Ru 1.98-2.05

- Formation energy from raw total energies: -1234 meV per atom
- Density of states at the Fermi level: 0.376 states/eV per atom

---

TaReW2: PBEsol geometry, SCAN.

abc: 3.1586 3.1586 6.3526
angles: 90.00 90.00 90.00
With the nearest neighbours (Å) after each atom.
Space group P4mm (No. 99)
Inequivalent atoms, fractional coordinates:
1 Ta 0.0000 0.0000 0.0000  4 Re 2.75, 4 W 2.77
2 Re 0.5000 0.5000 0.7481  4 W 2.73, 4 Ta 2.75
3 W 0.0000 0.0000 0.5011  4 W 2.72, 4 Re 2.73
4 W 0.5000 0.5000 0.2569  4 W 2.72, 4 Ta 2.77

- Excess energy over the best structure of this formula in the dataset: 0.012 eV/atom
- Density of states at the Fermi level: 0.450 states/eV per atom
- Formation enthalpy at 0 K: -18.3 kJ/mol of atoms

---

Sc2HSe: PBEsol geometry, SCAN.

abc: 6.2721 6.2721 6.2721
angles: 90.00 90.00 90.00
With the nearest neighbours (Å) after each atom.
Space group Fm-3m (No. 225)
Inequivalent atoms, fractional coordinates:
1 Sc 0.2500 0.2500 0.2500  4 H 2.72, 4 Se 2.72
2 H 0.0000 0.0000 0.0000  8 Sc 2.72
3 Se 0.0000 0.0000 0.5000  8 Sc 2.72

- Density of states at the Fermi level: 0.675 states/eV per atom
- Raw total energy: -13.615 eV/atom

---

Re5Ni4: PBEsol geometry, SCAN.

abc: 7.8488 7.8488 3.7492
angles: 90.00 90.00 90.00
With the nearest neighbours (Å) after each atom.
Space group I4/mmm (No. 139)
Inequivalent atoms, fractional coordinates:
1 Re 0.0000 0.0000 0.0000  4 Ni 2.63, 8 Re 2.66
2 Re 0.1697 0.1697 0.5000  6 Re 2.59-2.66, 6 Ni 2.59-2.64
3 Ni 0.0000 0.3352 0.0000  5 Ni 2.59-2.62, 7 Re 2.59-2.64

- Density of states at the Fermi level: 0.672 states/eV per atom
- Formation enthalpy at 0 K: 1.6 kJ/mol of atoms